Compound: LiPm3Hg
Source: Alexandria via LeMat-Bulk
Functional: PBE-GGA
Structure: optimized geometry

The space group is P2_1/c (No. 14) and the conventional cell measures 8.1103, 6.8121 and 10.9831 Å, with angles of 90.00, 105.19 and 90.00 degrees. The inequivalent atoms are Li at (0.0405, 0.2147, 0.0205), Pm at (0.1726, 0.5133, 0.2683), Pm at (0.2577, 0.0147, 0.3579), Pm at (0.3913, 0.6691, 0.5950) and Hg at (0.4000, 0.2202, 0.6193).

Its total energy is -3.386 eV/atom. The value obtained for the density of states at the Fermi level is 5.32 states/eV/f.u. For the total magnetization, the calculation gives 0.00 Bohr magnetons per cell. The formation energy comes out at -0.093 eV per atom.